YTiOs3 | Alexandria via LeMat-Bulk | PBE-GGA | relaxed; crystal system = cubic; relative energy among the computed polymorphs = 0.0 kJ per mole of atoms; calculated volume = 97.80 Å³/cell; space group = Pm-3m; formation energy from the elements = 850 meV/atom; total magnetization = 0.0 μB per cell
1.0
-4.398 -1.368 -0.123
1.342 -4.190 -1.366
0.294 -1.340 4.398
Y Os Ti
1 3 1
Direct
0.500 0.500 0.500 Y
0.000 0.500 0.000 Os
0.000 0.000 0.500 Os
0.500 0.000 0.000 Os
0.000 0.000 0.000 Ti

=====

YZrTiOs2 | Alexandria via LeMat-Bulk | PBE-GGA | relaxed; crystal system = tetragonal; calculated volume = 108.60 Å³/cell; space group = P4/mmm; formation energy from the elements = 1770 meV/atom; total magnetization = 0.0 μB per cell
1.0
-2.068 -0.774 4.353
2.160 -4.001 0.314
3.768 2.206 2.182
Y Os Zr Ti
1 2 1 1
Direct
0.000 0.000 0.000 Y
0.000 0.000 0.500 Os
0.500 0.000 0.000 Os
0.500 0.500 0.500 Zr
0.000 0.500 0.000 Ti

=====

Ti6ZnOs | Alexandria via LeMat-Bulk | PBE-GGA | relaxed; crystal system = hexagonal; calculated volume = 129.19 Å³/cell; space group = P-6m2; formation energy from the elements = -131 meV/atom; total magnetization = 0.0 μB per cell
1.0
4.736 0.000 0.000
0.000 4.949 -2.645
0.000 -0.180 5.608
Ti Zn Os
6 1 1
Direct
0.000 0.089 0.419 Ti
0.000 0.581 0.911 Ti
0.000 0.581 0.419 Ti
0.500 0.404 0.077 Ti
0.500 0.923 0.596 Ti
0.500 0.922 0.078 Ti
0.500 0.417 0.583 Zn
0.000 0.083 0.917 Os